3
Lattice="-2.6415 -0.7091 -3.9014 1.7652 -2.5032 -3.6495 -1.7125 -4.3411 -0.9609" Properties=species:S:1:pos:R:3 comment="LaScBe | the Alexandria database | GGA-PBE | relaxed" de_polymorph_mev_per_atom=240 formation_enthalpy_0k_ev_per_atom=0.321 dos_ef_per_ev_cell=4.9 total_magnetization_mub_per_cell=0.0 total_energy_ev_per_atom=-4.674 pbc="T T T"
Sc -1.2944 -3.7767 -4.2559
Be -1.9416 -5.6650 -6.3838
La 0.0000 0.0000 0.0000